Here is crystalline Np2PbS6 at its relaxed geometry from the Alexandria database. Energies are from PBE.

Cell lengths 6.336, 6.336, 12.309 Å; angles 90.00, 90.00, 90.00 degrees
Fractional positions:
Np  0.500  0.500  0.333
Np  0.500  0.500  0.667
Np  0.000  0.000  0.167
Np  0.000  0.000  0.833
Pb  0.500  0.500  0.000
Pb  0.000  0.000  0.500
S  0.706  0.706  0.184
S  0.706  0.706  0.816
S  0.678  0.678  0.500
S  0.822  0.178  0.000
S  0.794  0.206  0.316
S  0.794  0.206  0.684
S  0.206  0.794  0.316
S  0.206  0.794  0.684
S  0.178  0.822  0.000
S  0.322  0.322  0.500
S  0.294  0.294  0.184
S  0.294  0.294  0.816

Properties
space group	P4_2/mnm, No. 136
raw total energy	-0.2535	Ha/atom
ΔE_f (raw)	-858	meV/atom


Here is crystalline LaInCoPb2 at its relaxed geometry from the Alexandria database. Energies are from PBE.

Cell lengths 5.152, 5.152, 5.064 Å; angles 90.00, 90.00, 90.00 degrees
Fractional positions:
Pb  0.000  0.500  0.000
Pb  0.500  0.000  0.000
In  0.500  0.500  0.500
Co  0.000  0.000  0.000
La  0.000  0.000  0.500

Properties
space group	P4/mmm, No. 123
raw total energy	-0.1696	Ha/atom
ΔE_f	-0.178	eV/atom


Here is crystalline TcGe3Os at its relaxed geometry from the Alexandria database. Energies are from PBE.

Cell lengths 4.774, 4.774, 4.774 Å; angles 90.00, 90.00, 90.00 degrees
Fractional positions:
Ge  0.000  0.500  0.000
Ge  0.000  0.000  0.500
Ge  0.500  0.000  0.000
Os  0.000  0.000  0.000
Tc  0.500  0.500  0.500

Properties
space group	Pm-3m, No. 221
raw total energy	-0.2214	Ha/atom
ΔE_f	1.066	eV/atom
energy above the lowest structure with this stoichiometry	0.0	meV/atom


Here is crystalline Er2VS at its relaxed geometry from the Alexandria database. Energies are from PBE.

Cell lengths 3.510, 3.510, 9.314 Å; angles 79.14, 79.14, 60.00 degrees
Fractional positions:
S  0.500  0.500  0.500
V  0.000  0.000  0.000
Er  0.104  0.104  0.689
Er  0.896  0.896  0.311

Properties
space group	R-3m, No. 166
raw total energy	-0.2141	Ha/atom
ΔE_f (raw)	-233	meV/atom


Here is crystalline Pr3Dy4Tm at its relaxed geometry from the Alexandria database. Energies are from PBE.

Cell lengths 7.201, 7.195, 10.177 Å; angles 90.00, 90.00, 90.00 degrees
Fractional positions:
Pr  0.815  0.500  0.000
Pr  0.064  0.752  0.250
Pr  0.564  0.248  0.250
Pr  0.315  0.500  0.500
Pr  0.564  0.248  0.750
Pr  0.064  0.752  0.750
Dy  0.314  0.000  0.000
Dy  0.315  0.500  0.000
Dy  0.064  0.248  0.250
Dy  0.564  0.752  0.250
Dy  0.815  0.500  0.500
Dy  0.814  0.000  0.500
Dy  0.564  0.752  0.750
Dy  0.064  0.248  0.750
Tm  0.814  0.000  0.000
Tm  0.314  0.000  0.500

Properties
space group	Pmna, No. 53
raw total energy	-0.1702	Ha/atom
ΔE_f	0.021	eV/atom
energy above the lowest structure with this stoichiometry	0.0	meV/atom


Here is crystalline LaNd12In4O3 at its relaxed geometry from the Alexandria database. Energies are from PBE.

Cell lengths 8.876, 8.876, 8.876 Å; angles 109.47, 109.47, 109.47 degrees
Fractional positions:
La  0.000  0.000  0.000
Nd  0.250  0.500  0.750
Nd  0.728  0.000  0.728
Nd  0.272  0.000  0.272
Nd  0.750  0.500  0.250
Nd  0.728  0.728  0.000
Nd  0.272  0.272  0.000
Nd  0.750  0.250  0.500
Nd  0.250  0.750  0.500
Nd  0.500  0.250  0.750
Nd  0.000  0.728  0.728
Nd  0.500  0.750  0.250
Nd  0.000  0.272  0.272
In  0.500  0.500  0.500
In  0.000  0.000  0.500
In  0.500  0.000  0.000
In  0.000  0.500  0.000
O  0.500  0.000  0.500
O  0.500  0.500  0.000
O  0.000  0.500  0.500

Properties
space group	Im-3m, No. 229
raw total energy	-0.1918	Ha/atom
ΔE_f (raw)	-821	meV/atom


Here is crystalline Ca2Cu3Si5 at its relaxed geometry from the Alexandria database. Energies are from PBE.

Cell lengths 5.673, 8.150, 8.150 Å; angles 88.61, 70.08, 70.08 degrees
Fractional positions:
Ca  0.255  0.871  0.622
Ca  0.245  0.378  0.129
Ca  0.745  0.129  0.378
Ca  0.755  0.622  0.871
Cu  0.134  0.240  0.500
Cu  0.366  0.500  0.760
Cu  0.866  0.760  0.500
Cu  0.634  0.500  0.240
Cu  0.250  0.004  0.996
Cu  0.750  0.996  0.004
Si  0.356  0.020  0.260
Si  0.144  0.740  0.980
Si  0.644  0.980  0.740
Si  0.856  0.260  0.020
Si  0.250  0.241  0.759
Si  0.750  0.759  0.241
Si  0.250  0.503  0.497
Si  0.750  0.497  0.503
Si  0.250  0.753  0.247
Si  0.750  0.247  0.753

Properties
space group	C2/c, No. 15
raw total energy	-0.1716	Ha/atom
ΔE_f (raw)	-328	meV/atom


Here is crystalline LaAs2CSe at its relaxed geometry from the Alexandria database. Energies are from PBE.

Cell lengths 5.889, 5.889, 5.657 Å; angles 90.00, 90.00, 90.00 degrees
Fractional positions:
As  0.000  0.500  0.000
As  0.500  0.000  0.000
C  0.500  0.500  0.500
Se  0.000  0.000  0.500
La  0.000  0.000  0.000

Properties
space group	P4/mmm, No. 123
raw total energy	-0.1338	Ha/atom
ΔE_f (raw)	1746	meV/atom
energy above the lowest structure with this stoichiometry	1584.6	meV/atom


Here is crystalline MgCuBRh2 at its relaxed geometry from the Alexandria database. Energies are from PBE.

Cell lengths 4.121, 4.121, 3.942 Å; angles 90.00, 90.00, 90.00 degrees
Fractional positions:
Mg  0.500  0.500  0.500
B  0.000  0.000  0.000
Rh  0.000  0.500  0.000
Rh  0.500  0.000  0.000
Cu  0.000  0.000  0.500

Properties
space group	P4/mmm, No. 123
raw total energy	-0.2125	Ha/atom
ΔE_f	-0.368	eV/atom


Here is crystalline RbHfCd3 at its relaxed geometry from the Alexandria database. Energies are from PBE.

Cell lengths 5.757, 5.757, 5.757 Å; angles 90.00, 90.00, 90.00 degrees
Fractional positions:
Hf  0.000  0.000  0.000
Rb  0.500  0.500  0.500
Cd  0.000  0.500  0.000
Cd  0.000  0.000  0.500
Cd  0.500  0.000  0.000

Properties
space group	Pm-3m, No. 221
raw total energy	-0.0820	Ha/atom
ΔE_f	0.502	eV/atom
energy above the lowest structure with this stoichiometry	0.0	meV/atom


Here is crystalline LiCeTlPt at its relaxed geometry from the Alexandria database. Energies are from PBE.

Cell lengths 4.881, 4.881, 4.881 Å; angles 60.00, 60.00, 60.00 degrees
Fractional positions:
Tl  0.000  0.000  0.000
Ce  0.500  0.500  0.500
Pt  0.750  0.750  0.750
Li  0.250  0.250  0.250

Properties
space group	F-43m, No. 216
raw total energy	-0.1693	Ha/atom
ΔE_f	-0.542	eV/atom


Here is crystalline BaTaTc2 at its relaxed geometry from the Alexandria database. Energies are from PBE.

Cell lengths 4.410, 4.410, 6.979 Å; angles 84.19, 84.19, 42.46 degrees
Fractional positions:
Ba  0.750  0.750  0.750
Ta  0.250  0.250  0.250
Tc  0.978  0.978  0.089
Tc  0.522  0.522  0.411

Properties
space group	C2/m, No. 12
raw total energy	-0.2946	Ha/atom
ΔE_f	0.611	eV/atom
energy above the lowest structure with this stoichiometry	164.2	meV/atom


Here is crystalline Mo4As5 at its relaxed geometry from the Alexandria database. Energies are from PBE.

Cell lengths 7.562, 7.562, 5.994 Å; angles 90.00, 90.00, 120.00 degrees
Fractional positions:
Mo  0.000  0.000  0.000
Mo  0.000  0.000  0.500
Mo  0.000  0.395  0.250
Mo  0.605  0.605  0.250
Mo  0.395  0.000  0.250
Mo  0.000  0.605  0.750
Mo  0.395  0.395  0.750
Mo  0.605  0.000  0.750
As  0.000  0.725  0.250
As  0.275  0.275  0.250
As  0.725  0.000  0.250
As  0.000  0.275  0.750
As  0.725  0.725  0.750
As  0.275  0.000  0.750
As  0.667  0.333  0.000
As  0.333  0.667  0.500
As  0.333  0.667  0.000
As  0.667  0.333  0.500

Properties
space group	P6_3/mcm, No. 193
raw total energy	-0.2643	Ha/atom
ΔE_f	0.206	eV/atom


Here is crystalline CdIn4Hg6 at its relaxed geometry from the Alexandria database. Energies are from PBE.

Cell lengths 5.663, 8.095, 10.002 Å; angles 51.84, 90.00, 110.48 degrees
Fractional positions:
Cd  0.000  0.000  0.000
In  0.650  0.836  0.347
In  0.814  0.164  0.653
In  0.186  0.836  0.816
In  0.350  0.164  0.184
Hg  0.505  0.416  0.396
Hg  0.911  0.416  0.188
Hg  0.495  0.584  0.812
Hg  0.000  0.000  0.500
Hg  0.089  0.584  0.604
Hg  0.500  0.000  0.000

Properties
space group	I222, No. 23
raw total energy	-0.0430	Ha/atom
ΔE_f	0.073	eV/atom


Here is crystalline Re2PbBr at its relaxed geometry from the Alexandria database. Energies are from PBE.

Cell lengths 3.068, 3.068, 9.183 Å; angles 90.00, 90.00, 90.00 degrees
Fractional positions:
Pb  0.500  0.500  0.803
Re  0.000  0.000  0.056
Re  0.500  0.500  0.213
Br  0.000  0.000  0.428

Properties
space group	P4mm, No. 99
raw total energy	-0.2612	Ha/atom
ΔE_f (raw)	462	meV/atom
energy above the lowest structure with this stoichiometry	156.0	meV/atom


Here is crystalline CuGe2I8 at its relaxed geometry from the Alexandria database. Energies are from PBE.

Cell lengths 7.224, 8.718, 8.718 Å; angles 74.77, 87.92, 87.92 degrees
Fractional positions:
Cu  0.000  0.000  0.000
Ge  0.672  0.805  0.805
Ge  0.328  0.195  0.195
I  0.167  0.296  0.916
I  0.833  0.084  0.704
I  0.313  0.841  0.841
I  0.687  0.159  0.159
I  0.167  0.916  0.296
I  0.833  0.704  0.084
I  0.754  0.621  0.621
I  0.246  0.379  0.379

Properties
space group	C2/m, No. 12
raw total energy	-0.0916	Ha/atom
ΔE_f (raw)	-154	meV/atom


Here is crystalline SrDyAg2 at its relaxed geometry from the Alexandria database. Energies are from PBE.

Cell lengths 5.319, 5.319, 5.319 Å; angles 60.00, 60.00, 60.00 degrees
Fractional positions:
Sr  0.500  0.500  0.500
Ag  0.250  0.250  0.250
Ag  0.750  0.750  0.750
Dy  0.000  0.000  0.000

Properties
space group	Fm-3m, No. 225
raw total energy	-0.1178	Ha/atom
ΔE_f	-0.209	eV/atom
energy above the lowest structure with this stoichiometry	79.0	meV/atom


Here is crystalline CrNiCl2 at its relaxed geometry from the Alexandria database. Energies are from PBE.

Cell lengths 6.528, 6.528, 4.215 Å; angles 84.63, 84.63, 29.82 degrees
Fractional positions:
Ni  0.250  0.250  0.250
Cl  0.120  0.120  0.962
Cl  0.380  0.380  0.538
Cr  0.750  0.750  0.750

Properties
space group	C2/m, No. 12
raw total energy	-0.1859	Ha/atom
ΔE_f (raw)	-284	meV/atom
energy above the lowest structure with this stoichiometry	4.9	meV/atom


Here is crystalline K2CdP at its relaxed geometry from the Alexandria database. Energies are from PBE.

Cell lengths 5.828, 5.828, 3.665 Å; angles 90.00, 90.00, 90.25 degrees
Fractional positions:
Cd  0.000  0.500  0.500
K  0.000  0.000  0.000
K  0.500  0.500  0.000
P  0.500  0.000  0.500

Properties
space group	Cmmm, No. 65
raw total energy	-0.0751	Ha/atom
ΔE_f	0.085	eV/atom
energy above the lowest structure with this stoichiometry	264.4	meV/atom


Here is crystalline Li2TiO at its relaxed geometry from the Alexandria database. Energies are from PBE.

Cell lengths 5.662, 5.662, 5.662 Å; angles 60.00, 60.00, 90.00 degrees
Fractional positions:
Li  0.377  0.125  0.250
Li  0.373  0.625  0.250
Li  0.375  0.623  0.750
Li  0.875  0.627  0.750
O  0.500  0.500  0.000
O  0.250  0.750  0.500
Ti  0.000  0.000  0.000
Ti  0.750  0.250  0.500

Properties
space group	I-42d, No. 122
raw total energy	-0.1650	Ha/atom
ΔE_f (raw)	-320	meV/atom


Here is crystalline ScAlTc2 at its relaxed geometry from the Alexandria database. Energies are from PBE.

Cell lengths 8.575, 8.575, 8.575 Å; angles 19.98, 19.98, 19.98 degrees
Fractional positions:
Sc  0.750  0.750  0.750
Tc  0.996  0.996  0.996
Tc  0.504  0.504  0.504
Al  0.250  0.250  0.250

Properties
space group	R-3m, No. 166
raw total energy	-0.2827	Ha/atom
ΔE_f	0.008	eV/atom
energy above the lowest structure with this stoichiometry	315.6	meV/atom


Here is crystalline Ta2OsBr at its relaxed geometry from the Alexandria database. Energies are from PBE.

Cell lengths 4.605, 4.605, 4.605 Å; angles 60.00, 60.00, 60.00 degrees
Fractional positions:
Os  0.500  0.500  0.500
Br  0.000  0.000  0.000
Ta  0.250  0.250  0.250
Ta  0.750  0.750  0.750

Properties
space group	Fm-3m, No. 225
raw total energy	-0.3138	Ha/atom
ΔE_f (raw)	613	meV/atom
energy above the lowest structure with this stoichiometry	471.3	meV/atom


Here is crystalline Mn2AlV2Rh5 at its relaxed geometry from the Alexandria database. Energies are from PBE.

Cell lengths 3.751, 8.864, 8.864 Å; angles 90.00, 90.00, 90.00 degrees
Fractional positions:
Mn  0.000  0.667  0.167
Mn  0.000  0.333  0.833
Mn  0.000  0.167  0.333
Mn  0.000  0.833  0.667
Al  0.000  0.000  0.000
Al  0.000  0.500  0.500
V  0.000  0.132  0.632
V  0.000  0.868  0.368
V  0.000  0.632  0.868
V  0.000  0.368  0.132
Rh  0.500  0.199  0.075
Rh  0.500  0.801  0.925
Rh  0.500  0.075  0.801
Rh  0.500  0.699  0.425
Rh  0.500  0.925  0.199
Rh  0.500  0.301  0.575
Rh  0.500  0.575  0.699
Rh  0.500  0.425  0.301
Rh  0.500  0.500  0.000
Rh  0.500  0.000  0.500

Properties
space group	P4/mbm, No. 127
raw total energy	-0.2903	Ha/atom
ΔE_f	-0.191	eV/atom